No. 1
{
  "formula": "Os3Br4",
  "functional": "PBE",
  "state": "optimized geometry",
  "polymorph_energy_mev_per_atom": 0,
  "m_tot_mub_per_fu": 0.005,
  "spacegroup": "I4/mmm, No. 139",
  "dft_energy_ev_per_atom": -4.88,
  "dos_at_fermi_per_ev_cell": 5.80,
  "e_form_raw_mev_per_atom": 887,
  "lattice_angstrom": [[-10.753, -3.919, 10.407], [-9.800, 0.071, 11.969], [8.721, 2.796, -12.467]],
  "species": ["Os", "Os", "Os", "Br", "Br", "Br", "Br"],
  "fractional_positions": [[0.000, 0.000, 0.000], [0.727, 0.727, 0.000], [0.273, 0.273, 0.000], [0.836, 0.836, 0.000], [0.164, 0.164, 0.000], [0.552, 0.552, 0.000], [0.448, 0.448, 0.000]]
}

No. 2
{
  "formula": "Os3Br",
  "functional": "PBE",
  "state": "optimized geometry",
  "polymorph_energy_mev_per_atom": 61,
  "m_tot_mub_per_fu": 0.000,
  "spacegroup": "R-3m, No. 166",
  "dft_energy_ev_per_atom": -8.02,
  "dos_at_fermi_per_ev_cell": 2.03,
  "e_form_raw_mev_per_atom": 824,
  "lattice_angstrom": [[9.772, 0.132, 0.077], [9.336, 2.891, 0.077], [9.336, 1.477, 2.486]],
  "species": ["Os", "Os", "Os", "Br"],
  "fractional_positions": [[0.760, 0.760, 0.760], [0.500, 0.500, 0.500], [0.240, 0.240, 0.240], [0.000, 0.000, 0.000]]
}

No. 3
{
  "formula": "OsBr",
  "functional": "PBE",
  "state": "optimized geometry",
  "polymorph_energy_mev_per_atom": 1448,
  "m_tot_mub_per_fu": 0.000,
  "spacegroup": "Pm-3m, No. 221",
  "dft_energy_ev_per_atom": -4.59,
  "dos_at_fermi_per_ev_cell": 1.98,
  "e_form_raw_mev_per_atom": 1858,
  "lattice_angstrom": [[-3.000, 1.046, -0.491], [-0.825, -2.896, -1.128], [-0.810, -0.927, 2.972]],
  "species": ["Os", "Br"],
  "fractional_positions": [[0.500, 0.500, 0.500], [0.000, 0.000, 0.000]]
}

No. 4
{
  "formula": "OsBr3",
  "functional": "PBE",
  "state": "optimized geometry",
  "m_tot_mub_per_fu": 1.000,
  "spacegroup": "R-3m, No. 166",
  "dft_energy_ev_per_atom": -3.63,
  "dos_at_fermi_per_ev_cell": 3.58,
  "e_form_raw_mev_per_atom": 429,
  "lattice_angstrom": [[2.172, 0.000, 9.885], [-1.086, 1.881, 9.885], [-1.086, -1.881, 9.885]],
  "species": ["Os", "Br", "Br", "Br"],
  "fractional_positions": [[0.500, 0.500, 0.500], [0.000, 0.000, 0.000], [0.877, 0.877, 0.877], [0.123, 0.123, 0.123]]
}

No. 5
{
  "formula": "OsBr",
  "functional": "PBE",
  "state": "optimized geometry",
  "polymorph_energy_mev_per_atom": 466,
  "m_tot_mub_per_fu": 0.000,
  "spacegroup": "Pmma, No. 51",
  "dft_energy_ev_per_atom": -5.58,
  "dos_at_fermi_per_ev_cell": 2.41,
  "e_form_raw_mev_per_atom": 876,
  "lattice_angstrom": [[3.061, 0.000, 0.000], [0.000, 3.468, 0.000], [0.000, 0.000, 8.908]],
  "species": ["Os", "Os", "Br", "Br"],
  "fractional_positions": [[0.500, 0.000, 0.580], [0.500, 0.500, 0.753], [0.000, 0.000, 0.959], [0.000, 0.500, 0.374]]
}

No. 6
{
  "formula": "OsBr3",
  "functional": "PBE",
  "state": "optimized geometry",
  "m_tot_mub_per_fu": 2.565,
  "spacegroup": "R-3m, No. 166",
  "dft_energy_ev_per_atom": -2.62,
  "dos_at_fermi_per_ev_cell": 7.01,
  "e_form_raw_mev_per_atom": 1441,
  "lattice_angstrom": [[-3.140, -1.221, 3.719], [-1.242, -2.522, -4.157], [4.706, -1.134, 1.321]],
  "species": ["Os", "Br", "Br", "Br"],
  "fractional_positions": [[0.000, 0.500, 0.500], [0.000, 0.000, 0.000], [0.500, 0.000, 0.500], [0.500, 0.500, 0.000]]
}

No. 7
{
  "formula": "Os3Br",
  "functional": "PBE",
  "state": "optimized geometry",
  "polymorph_energy_mev_per_atom": 210,
  "m_tot_mub_per_fu": 0.000,
  "spacegroup": "P4/mmm, No. 123",
  "dft_energy_ev_per_atom": -7.87,
  "dos_at_fermi_per_ev_cell": 4.47,
  "e_form_raw_mev_per_atom": 973,
  "lattice_angstrom": [[2.833, 0.000, 0.000], [0.000, 2.833, 0.000], [0.000, 0.000, 7.832]],
  "species": ["Os", "Os", "Os", "Br"],
  "fractional_positions": [[0.500, 0.500, 0.270], [0.000, 0.000, 0.500], [0.500, 0.500, 0.730], [0.000, 0.000, 0.000]]
}

No. 8
{
  "formula": "OsBr",
  "functional": "PBE",
  "state": "optimized geometry",
  "polymorph_energy_mev_per_atom": 741,
  "m_tot_mub_per_fu": 0.000,
  "spacegroup": "Fddd, No. 70",
  "dft_energy_ev_per_atom": -5.30,
  "dos_at_fermi_per_ev_cell": 40.86,
  "e_form_raw_mev_per_atom": 1151,
  "lattice_angstrom": [[6.959, 0.000, 0.000], [0.000, 10.408, 0.000], [0.000, 0.000, 9.868]],
  "species": ["Os", "Os", "Os", "Os", "Os", "Os", "Os", "Os", "Os", "Os", "Os", "Os", "Os", "Os", "Os", "Os", "Br", "Br", "Br", "Br", "Br", "Br", "Br", "Br", "Br", "Br", "Br", "Br", "Br", "Br", "Br", "Br"],
  "fractional_positions": [[0.000, 0.109, 0.000], [0.000, 0.891, 0.000], [0.250, 0.641, 0.250], [0.250, 0.859, 0.250], [0.000, 0.609, 0.500], [0.000, 0.391, 0.500], [0.250, 0.141, 0.750], [0.250, 0.359, 0.750], [0.500, 0.109, 0.500], [0.500, 0.891, 0.500], [0.750, 0.641, 0.750], [0.750, 0.859, 0.750], [0.500, 0.609, 0.000], [0.500, 0.391, 0.000], [0.750, 0.141, 0.250], [0.750, 0.359, 0.250], [0.000, 0.000, 0.657], [0.000, 0.000, 0.343], [0.250, 0.750, 0.593], [0.250, 0.750, 0.907], [0.000, 0.500, 0.157], [0.000, 0.500, 0.843], [0.250, 0.250, 0.093], [0.250, 0.250, 0.407], [0.500, 0.000, 0.157], [0.500, 0.000, 0.843], [0.750, 0.750, 0.093], [0.750, 0.750, 0.407], [0.500, 0.500, 0.657], [0.500, 0.500, 0.343], [0.750, 0.250, 0.593], [0.750, 0.250, 0.907]]
}

No. 9
{
  "formula": "OsBr3",
  "functional": "PBE",
  "state": "optimized geometry",
  "m_tot_mub_per_fu": 1.342,
  "spacegroup": "Cmmm, No. 65",
  "dft_energy_ev_per_atom": -3.94,
  "dos_at_fermi_per_ev_cell": 1.09,
  "e_form_raw_mev_per_atom": 119,
  "lattice_angstrom": [[-3.073, 2.221, -0.253], [-4.064, -5.699, -0.672], [-3.512, -4.378, 4.237]],
  "species": ["Os", "Br", "Br", "Br"],
  "fractional_positions": [[0.500, 0.250, 0.250], [0.000, 0.124, 0.123], [0.500, 0.750, 0.750], [0.000, 0.376, 0.377]]
}

No. 10
{
  "formula": "OsBr",
  "functional": "PBE",
  "state": "optimized geometry",
  "polymorph_energy_mev_per_atom": 1169,
  "m_tot_mub_per_fu": 0.000,
  "spacegroup": "P-6m2, No. 187",
  "dft_energy_ev_per_atom": -4.87,
  "dos_at_fermi_per_ev_cell": 1.73,
  "e_form_raw_mev_per_atom": 1579,
  "lattice_angstrom": [[2.980, 0.000, 0.000], [-1.490, 2.581, 0.000], [0.000, 0.000, 4.401]],
  "species": ["Os", "Br"],
  "fractional_positions": [[0.667, 0.333, 0.500], [0.000, 0.000, 0.000]]
}

No. 11
{
  "formula": "OsBr",
  "functional": "PBE",
  "state": "optimized geometry",
  "polymorph_energy_mev_per_atom": 567,
  "m_tot_mub_per_fu": 0.000,
  "spacegroup": "Pmmn, No. 59",
  "dft_energy_ev_per_atom": -5.47,
  "dos_at_fermi_per_ev_cell": 7.88,
  "e_form_raw_mev_per_atom": 977,
  "lattice_angstrom": [[-1.347, 3.625, 0.240], [-2.278, -1.214, 5.541], [9.133, 3.098, 4.433]],
  "species": ["Os", "Os", "Os", "Os", "Os", "Os", "Br", "Br", "Br", "Br", "Br", "Br"],
  "fractional_positions": [[0.000, 0.612, 0.742], [0.500, 0.388, 0.758], [0.500, 0.388, 0.242], [0.000, 0.612, 0.258], [0.000, 0.756, 0.500], [0.500, 0.244, 0.000], [0.000, 0.103, 0.644], [0.500, 0.897, 0.856], [0.500, 0.897, 0.144], [0.000, 0.103, 0.356], [0.000, 0.481, 0.000], [0.500, 0.519, 0.500]]
}

No. 12
{
  "formula": "Os3Br",
  "functional": "PBE",
  "state": "optimized geometry",
  "polymorph_energy_mev_per_atom": 765,
  "m_tot_mub_per_fu": 0.006,
  "spacegroup": "Fm-3m, No. 225",
  "dft_energy_ev_per_atom": -7.31,
  "dos_at_fermi_per_ev_cell": 6.14,
  "e_form_raw_mev_per_atom": 1528,
  "lattice_angstrom": [[4.453, 0.000, 0.000], [2.227, 3.857, 0.000], [2.227, 1.286, 3.636]],
  "species": ["Os", "Os", "Os", "Br"],
  "fractional_positions": [[0.250, 0.250, 0.250], [0.500, 0.500, 0.500], [0.750, 0.750, 0.750], [0.000, 0.000, 0.000]]
}

No. 13
{
  "formula": "OsBr3",
  "functional": "PBE",
  "state": "optimized geometry",
  "m_tot_mub_per_fu": 3.468,
  "spacegroup": "Fm-3m, No. 225",
  "dft_energy_ev_per_atom": -2.67,
  "dos_at_fermi_per_ev_cell": 4.29,
  "e_form_raw_mev_per_atom": 1396,
  "lattice_angstrom": [[1.374, -4.473, -1.756], [-3.456, -3.188, -1.695], [-0.320, -0.970, -4.893]],
  "species": ["Os", "Br", "Br", "Br"],
  "fractional_positions": [[0.500, 0.500, 0.500], [0.250, 0.250, 0.250], [0.750, 0.750, 0.750], [0.000, 0.000, 0.000]]
}